Record 1
# PBE HgPbSO, relaxed
data_HgPbSO
_chemical_formula_sum 'Hg8 Pb8 S8 O8'
_space_group_name_H-M_alt 'P 1'
_space_group_IT_number 1
_cell_length_a 8.003
_cell_length_b 12.444
_cell_length_c 7.303
_cell_angle_alpha 90.00
_cell_angle_beta 90.00
_cell_angle_gamma 90.00
loop_
_space_group_symop_operation_xyz
'x,y,z'
loop_
_atom_site_label
_atom_site_type_symbol
_atom_site_fract_x
_atom_site_fract_y
_atom_site_fract_z
_atom_site_occupancy
Hg1 Hg 0.757 0.539 0.514 1
Hg2 Hg 0.243 0.461 0.486 1
Hg3 Hg 0.743 0.039 0.514 1
Hg4 Hg 0.757 0.961 0.014 1
Hg5 Hg 0.257 0.961 0.486 1
Hg6 Hg 0.257 0.539 0.986 1
Hg7 Hg 0.243 0.039 0.986 1
Hg8 Hg 0.743 0.461 0.014 1
S1 S 0.059 0.525 0.240 1
S2 S 0.559 0.975 0.760 1
S3 S 0.941 0.025 0.260 1
S4 S 0.441 0.025 0.240 1
S5 S 0.559 0.525 0.260 1
S6 S 0.441 0.475 0.740 1
S7 S 0.059 0.975 0.740 1
S8 S 0.941 0.475 0.760 1
O1 O 0.820 0.772 0.036 1
O2 O 0.320 0.772 0.464 1
O3 O 0.820 0.728 0.536 1
O4 O 0.680 0.272 0.036 1
O5 O 0.180 0.272 0.464 1
O6 O 0.180 0.228 0.964 1
O7 O 0.680 0.228 0.536 1
O8 O 0.320 0.728 0.964 1
Pb1 Pb 0.994 0.739 0.798 1
Pb2 Pb 0.994 0.761 0.298 1
Pb3 Pb 0.506 0.239 0.798 1
Pb4 Pb 0.506 0.261 0.298 1
Pb5 Pb 0.494 0.761 0.202 1
Pb6 Pb 0.006 0.261 0.202 1
Pb7 Pb 0.494 0.739 0.702 1
Pb8 Pb 0.006 0.239 0.702 1
# Calculated total energy ... -3.7430 eV/atom
# Symmetry ... Pbca, No. 61

***

Record 2
# PBE DyBiN2O, relaxed
data_DyBiN2O
_chemical_formula_sum 'Dy8 Bi8 N16 O8'
_space_group_name_H-M_alt 'P 1'
_space_group_IT_number 1
_cell_length_a 8.171
_cell_length_b 8.162
_cell_length_c 11.610
_cell_angle_alpha 90.00
_cell_angle_beta 132.62
_cell_angle_gamma 90.00
loop_
_space_group_symop_operation_xyz
'x,y,z'
loop_
_atom_site_label
_atom_site_type_symbol
_atom_site_fract_x
_atom_site_fract_y
_atom_site_fract_z
_atom_site_occupancy
N1 N 0.076 0.256 0.722 1
N2 N 0.571 0.240 0.354 1
N3 N 0.429 0.760 0.646 1
N4 N 0.924 0.756 0.778 1
N5 N 0.196 0.099 0.502 1
N6 N 0.804 0.901 0.498 1
N7 N 0.290 0.891 0.295 1
N8 N 0.804 0.599 0.998 1
N9 N 0.924 0.744 0.278 1
N10 N 0.076 0.244 0.222 1
N11 N 0.290 0.609 0.795 1
N12 N 0.710 0.391 0.205 1
N13 N 0.196 0.401 0.002 1
N14 N 0.571 0.260 0.854 1
N15 N 0.429 0.740 0.146 1
N16 N 0.710 0.109 0.705 1
Dy1 Dy 0.050 0.777 0.027 1
Dy2 Dy 0.050 0.723 0.527 1
Dy3 Dy 0.950 0.223 0.973 1
Dy4 Dy 0.437 0.221 0.981 1
Dy5 Dy 0.563 0.779 0.019 1
Dy6 Dy 0.950 0.277 0.473 1
Dy7 Dy 0.437 0.279 0.481 1
Dy8 Dy 0.563 0.721 0.519 1
Bi1 Bi 0.028 0.504 0.773 1
Bi2 Bi 0.489 0.011 0.732 1
Bi3 Bi 0.489 0.489 0.232 1
Bi4 Bi 0.972 0.004 0.727 1
Bi5 Bi 0.028 0.996 0.273 1
Bi6 Bi 0.511 0.989 0.268 1
Bi7 Bi 0.972 0.496 0.227 1
Bi8 Bi 0.511 0.511 0.768 1
O1 O 0.666 0.028 0.165 1
O2 O 0.189 0.458 0.505 1
O3 O 0.189 0.042 0.005 1
O4 O 0.811 0.958 0.995 1
O5 O 0.334 0.528 0.335 1
O6 O 0.334 0.972 0.835 1
O7 O 0.666 0.472 0.665 1
O8 O 0.811 0.542 0.495 1
# Calculated total energy ... -6.6849 eV/atom
# Magnetic moment ... 0.00 μB/f.u.
# Symmetry ... P2_1/c, No. 14

***

Record 3
# PBE HoTa2O4, relaxed
data_HoTa2O4
_chemical_formula_sum 'Ho2 Ta4 O8'
_space_group_name_H-M_alt 'P 1'
_space_group_IT_number 1
_cell_length_a 6.385
_cell_length_b 6.385
_cell_length_c 6.385
_cell_angle_alpha 119.99
_cell_angle_beta 90.02
_cell_angle_gamma 119.99
loop_
_space_group_symop_operation_xyz
'x,y,z'
loop_
_atom_site_label
_atom_site_type_symbol
_atom_site_fract_x
_atom_site_fract_y
_atom_site_fract_z
_atom_site_occupancy
O1 O 0.616 0.233 0.384 1
O2 O 0.134 0.267 0.401 1
O3 O 0.134 0.733 0.866 1
O4 O 0.599 0.733 0.866 1
O5 O 0.134 0.267 0.866 1
O6 O 0.151 0.767 0.384 1
O7 O 0.616 0.767 0.384 1
O8 O 0.616 0.233 0.849 1
Ta1 Ta 0.375 0.750 0.125 1
Ta2 Ta 0.375 0.250 0.625 1
Ta3 Ta 0.375 0.750 0.625 1
Ta4 Ta 0.875 0.250 0.625 1
Ho1 Ho 0.000 0.000 0.000 1
Ho2 Ho 0.750 0.500 0.250 1
# Calculated total energy ... -8.9677 eV/atom
# Magnetic moment ... 0.43 μB/f.u.
# Symmetry ... Fd-3m, No. 227

***

Record 4
# PBE TbHgB, relaxed
data_TbHgB
_chemical_formula_sum 'Tb1 Hg1 B1'
_space_group_name_H-M_alt 'P 1'
_space_group_IT_number 1
_cell_length_a 4.343
_cell_length_b 4.343
_cell_length_c 4.343
_cell_angle_alpha 60.00
_cell_angle_beta 60.00
_cell_angle_gamma 60.00
loop_
_space_group_symop_operation_xyz
'x,y,z'
loop_
_atom_site_label
_atom_site_type_symbol
_atom_site_fract_x
_atom_site_fract_y
_atom_site_fract_z
_atom_site_occupancy
Tb1 Tb 0.750 0.750 0.750 1
B1 B 0.000 0.000 0.000 1
Hg1 Hg 0.250 0.250 0.250 1
# Calculated total energy ... -3.9157 eV/atom
# Magnetic moment ... 0.00 μB/f.u.
# Symmetry ... F-43m, No. 216